# 1
! Hf2CrAu2 (PBE-GGA, optimized geometry); values from VASP
! energy of formation = -0.17 eV/atom
! symmetry = P4/mbm (127)
&SYSTEM
  ibrav = 0, nat = 10, ntyp = 3
/
ATOMIC_SPECIES
Hf 178.49 Hf.upf
Cr 52.00 Cr.upf
Au 196.97 Au.upf
CELL_PARAMETERS angstrom
7.4896 0.0000 0.0000
0.0000 7.4896 0.0000
0.0000 0.0000 3.5075
ATOMIC_POSITIONS angstrom
Hf 1.2863 2.4585 0.0000
Hf 2.4585 6.2033 0.0000
Hf 5.0310 1.2863 0.0000
Hf 6.2033 5.0310 0.0000
Cr 0.0000 0.0000 1.7537
Cr 3.7448 3.7448 1.7537
Au 0.9867 4.7315 1.7537
Au 2.7581 0.9867 1.7537
Au 4.7315 6.5029 1.7537
Au 6.5029 2.7581 1.7537

# 2
! Tc3PtS (PBE-GGA, optimized geometry); values from VASP
! excess energy over the best structure of this formula in the dataset = 0 meV/atom
! symmetry = Pm-3m (221)
! raw formation energy = 0.471 eV/atom
&SYSTEM
  ibrav = 0, nat = 5, ntyp = 3
/
ATOMIC_SPECIES
Tc 98.00 Tc.upf
Pt 195.08 Pt.upf
S 32.06 S.upf
CELL_PARAMETERS angstrom
4.3099 0.0000 0.0000
0.0000 4.3099 0.0000
0.0000 0.0000 4.3099
ATOMIC_POSITIONS angstrom
Tc 0.0000 0.0000 2.1550
Tc 0.0000 2.1550 0.0000
Tc 2.1550 0.0000 0.0000
Pt 2.1550 2.1550 2.1550
S 0.0000 0.0000 0.0000

# 3
! Pm5PrNd3 (PBE-GGA, optimized geometry); values from VASP
! excess energy over the best structure of this formula in the dataset = 239 meV/atom
! energy of formation = 0.37 eV/atom
! symmetry = C2/m (12)
&SYSTEM
  ibrav = 0, nat = 18, ntyp = 3
/
ATOMIC_SPECIES
Pm 145.00 Pm.upf
Pr 140.91 Pr.upf
Nd 144.24 Nd.upf
CELL_PARAMETERS angstrom
8.5162 -4.2224 0.0000
8.5162 4.2224 0.0000
-8.3210 0.0000 9.3750
ATOMIC_POSITIONS angstrom
Pm -2.8187 1.6403 7.2499
Pm -2.5287 0.0000 3.9152
Pm -5.5267 0.0000 8.8764
Pm 8.5162 2.6794 0.0000
Pm -2.8187 -1.6403 7.2499
Pm 11.5301 1.6403 2.1251
Pm 8.5162 -2.6794 0.0000
Pm 14.2380 0.0000 0.4986
Pm 11.2400 0.0000 5.4599
Pm 11.5301 -1.6403 2.1251
Pr 5.5491 0.0000 1.2376
Pr 3.1623 0.0000 8.1375
Nd 0.9265 0.0000 2.8417
Nd 0.3912 0.0000 6.0514
Nd 8.5162 0.0000 0.0000
Nd 4.3557 0.0000 4.6875
Nd 8.3202 0.0000 3.3237
Nd 7.7848 0.0000 6.5333

# 4
! CsCdIrCl6 (PBE-GGA, optimized geometry); values from VASP
! symmetry = P312 (149)
! raw formation energy = -1.048 eV/atom
&SYSTEM
  ibrav = 0, nat = 9, ntyp = 4
/
ATOMIC_SPECIES
Cs 132.91 Cs.upf
Cd 112.41 Cd.upf
Ir 192.22 Ir.upf
Cl 35.45 Cl.upf
CELL_PARAMETERS angstrom
6.6568 0.0000 0.0000
-3.3284 5.7649 0.0000
0.0000 0.0000 7.7342
ATOMIC_POSITIONS angstrom
Cs 0.0000 0.0000 0.0000
Cd 0.0000 3.8433 3.8671
Ir 3.3284 1.9216 3.8671
Cl 2.4349 0.2072 5.2322
Cl 1.3969 2.0051 2.5019
Cl 4.2219 0.2072 2.5019
Cl 2.2903 3.5527 5.2322
Cl 5.2599 2.0051 5.2322
Cl 4.3665 3.5527 2.5019

# 5
! U2Si4PtRh3 (PBE-GGA, optimized geometry); values from VASP
! symmetry = P-4m2 (115)
! raw formation energy = -0.767 eV/atom
&SYSTEM
  ibrav = 0, nat = 10, ntyp = 4
/
ATOMIC_SPECIES
U 238.03 U.upf
Si 28.09 Si.upf
Pt 195.08 Pt.upf
Rh 102.91 Rh.upf
CELL_PARAMETERS angstrom
4.0746 0.0000 0.0000
0.0000 4.0746 0.0000
0.0000 0.0000 10.0446
ATOMIC_POSITIONS angstrom
U 0.0000 2.0373 2.4343
U 2.0373 0.0000 7.6102
Si 0.0000 0.0000 0.0000
Si 0.0000 2.0373 6.4116
Si 2.0373 0.0000 3.6329
Si 2.0373 2.0373 0.0000
Pt 0.0000 0.0000 5.0223
Rh 0.0000 2.0373 8.7721
Rh 2.0373 0.0000 1.2724
Rh 2.0373 2.0373 5.0223

# 6
! Ac8LaTb6 (PBE-GGA, optimized geometry); values from VASP
! energy of formation = 0.23 eV/atom
! symmetry = P-3 (147)
&SYSTEM
  ibrav = 0, nat = 15, ntyp = 3
/
ATOMIC_SPECIES
Ac 227.00 Ac.upf
La 138.91 La.upf
Tb 158.93 Tb.upf
CELL_PARAMETERS angstrom
10.0431 0.0000 0.0000
-5.0215 8.6976 0.0000
0.0000 0.0000 7.1541
ATOMIC_POSITIONS angstrom
Ac -1.2699 3.1540 2.7592
Ac -1.6551 8.2203 2.7592
Ac 0.0000 5.7984 5.6174
Ac 2.0965 2.6768 4.3949
Ac 2.9250 6.0208 2.7592
Ac 5.0215 2.8992 1.5368
Ac 6.6766 0.4773 4.3949
Ac 6.2914 5.5435 4.3949
La 0.0000 0.0000 0.0000
Tb -3.0346 5.8066 0.6961
Tb 1.5102 3.1662 0.6961
Tb 3.4971 0.2753 6.4580
Tb 1.5244 8.4223 0.6961
Tb 3.5114 5.5314 6.4580
Tb 8.0562 2.8909 6.4580

# 7
! YPuOs (PBE-GGA, optimized geometry); values from VASP
! excess energy over the best structure of this formula in the dataset = 134 meV/atom
! energy of formation = 0.02 eV/atom
! symmetry = F-43m (216)
&SYSTEM
  ibrav = 0, nat = 12, ntyp = 3
/
ATOMIC_SPECIES
Y 88.91 Y.upf
Pu 244.00 Pu.upf
Os 190.23 Os.upf
CELL_PARAMETERS angstrom
6.7308 0.0000 0.0000
0.0000 6.7308 0.0000
0.0000 0.0000 6.7308
ATOMIC_POSITIONS angstrom
Y 0.0000 0.0000 0.0000
Y 0.0000 3.3654 3.3654
Y 3.3654 0.0000 3.3654
Y 3.3654 3.3654 0.0000
Pu 0.0000 0.0000 3.3654
Pu 0.0000 3.3654 0.0000
Pu 3.3654 0.0000 0.0000
Pu 3.3654 3.3654 3.3654
Os 1.6827 1.6827 1.6827
Os 1.6827 5.0481 5.0481
Os 5.0481 1.6827 5.0481
Os 5.0481 5.0481 1.6827

# 8
! TaCoIr3 (PBE-GGA, optimized geometry); values from VASP
! excess energy over the best structure of this formula in the dataset = 641 meV/atom
! energy of formation = 1.78 eV/atom
! symmetry = Pm-3m (221)
&SYSTEM
  ibrav = 0, nat = 5, ntyp = 3
/
ATOMIC_SPECIES
Ta 180.95 Ta.upf
Co 58.93 Co.upf
Ir 192.22 Ir.upf
CELL_PARAMETERS angstrom
4.7530 0.0000 0.0000
0.0000 4.7530 0.0000
0.0000 0.0000 4.7530
ATOMIC_POSITIONS angstrom
Ta 0.0000 0.0000 0.0000
Co 2.3765 2.3765 2.3765
Ir 0.0000 0.0000 2.3765
Ir 0.0000 2.3765 0.0000
Ir 2.3765 0.0000 0.0000

# 9
! PaHg4 (PBE-GGA, optimized geometry); values from VASP
! excess energy over the best structure of this formula in the dataset = 433 meV/atom
! energy of formation = 0.76 eV/atom
! symmetry = Pm-3m (221)
&SYSTEM
  ibrav = 0, nat = 5, ntyp = 2
/
ATOMIC_SPECIES
Pa 231.04 Pa.upf
Hg 200.59 Hg.upf
CELL_PARAMETERS angstrom
6.0554 0.0000 0.0000
0.0000 6.0554 0.0000
0.0000 0.0000 6.0554
ATOMIC_POSITIONS angstrom
Pa 0.0000 0.0000 0.0000
Hg 0.0000 0.0000 3.0277
Hg 0.0000 3.0277 0.0000
Hg 3.0277 0.0000 0.0000
Hg 3.0277 3.0277 3.0277

# 10
! Ga3MoCl (PBE-GGA, optimized geometry); values from VASP
! excess energy over the best structure of this formula in the dataset = 0 meV/atom
! symmetry = Pm-3m (221)
! raw formation energy = 0.355 eV/atom
&SYSTEM
  ibrav = 0, nat = 5, ntyp = 3
/
ATOMIC_SPECIES
Ga 69.72 Ga.upf
Mo 95.94 Mo.upf
Cl 35.45 Cl.upf
CELL_PARAMETERS angstrom
5.0488 0.0000 0.0000
0.0000 5.0488 0.0000
0.0000 0.0000 5.0488
ATOMIC_POSITIONS angstrom
Ga 0.0000 0.0000 2.5244
Ga 0.0000 2.5244 0.0000
Ga 2.5244 0.0000 0.0000
Mo 0.0000 0.0000 0.0000
Cl 2.5244 2.5244 2.5244

# 11
! LiRuW2 (PBE-GGA, optimized geometry); values from VASP
! energy of formation = 0.33 eV/atom
! symmetry = F-43m (216)
&SYSTEM
  ibrav = 0, nat = 16, ntyp = 3
/
ATOMIC_SPECIES
Li 6.94 Li.upf
Ru 101.07 Ru.upf
W 183.84 W.upf
CELL_PARAMETERS angstrom
6.1663 0.0000 0.0000
0.0000 6.1663 0.0000
0.0000 0.0000 6.1663
ATOMIC_POSITIONS angstrom
Li 0.0000 0.0000 0.0000
Li 0.0000 3.0831 3.0831
Li 3.0831 0.0000 3.0831
Li 3.0831 3.0831 0.0000
Ru 1.5416 1.5416 4.6247
Ru 1.5416 4.6247 1.5416
Ru 4.6247 1.5416 1.5416
Ru 4.6247 4.6247 4.6247
W 0.0000 0.0000 3.0831
W 0.0000 3.0831 0.0000
W 1.5416 1.5416 1.5416
W 1.5416 4.6247 4.6247
W 3.0831 0.0000 0.0000
W 3.0831 3.0831 3.0831
W 4.6247 1.5416 4.6247
W 4.6247 4.6247 1.5416

# 12
! CrSb2Te (PBE-GGA, optimized geometry); values from VASP
! excess energy over the best structure of this formula in the dataset = 135 meV/atom
! symmetry = P4/mmm (123)
! raw formation energy = 0.231 eV/atom
&SYSTEM
  ibrav = 0, nat = 4, ntyp = 3
/
ATOMIC_SPECIES
Cr 52.00 Cr.upf
Sb 121.76 Sb.upf
Te 127.60 Te.upf
CELL_PARAMETERS angstrom
3.2334 0.0000 0.0000
0.0000 3.2334 0.0000
0.0000 0.0000 9.2658
ATOMIC_POSITIONS angstrom
Cr 0.0000 0.0000 0.0000
Sb 1.6167 1.6167 1.6291
Sb 1.6167 1.6167 7.6367
Te 0.0000 0.0000 4.6329